No. 1
{"formula": "BiTe2F2", "functional": "SCAN", "state": "PBEsol geometry", "cell": [[3.2335, 0.0000, 0.0000], [0.0000, 7.7878, 0.0000], [0.0000, 0.0000, 7.7878]], "species": ["Te", "Te", "Te", "Te", "Bi", "Bi", "F", "F", "F", "F"], "fractional_positions": [[0.5000, 0.1280, 0.6280], [0.5000, 0.6280, 0.8720], [0.5000, 0.8720, 0.3720], [0.5000, 0.3720, 0.1280], [0.0000, 0.0000, 0.0000], [0.0000, 0.5000, 0.5000], [0.0000, 0.3167, 0.8167], [0.0000, 0.8167, 0.6833], [0.0000, 0.6833, 0.1833], [0.0000, 0.1833, 0.3167]], "e_tot_ev_per_cell": -326.978, "density_g_cm3": 8.50, "formation_energy_uncorrected_ev_per_atom": -0.6654, "crystal_system": "tetragonal"}



No. 2
{"formula": "TlBiTeF2", "functional": "SCAN", "state": "PBEsol geometry", "cell": [[4.6404, 0.0000, 0.0000], [0.0000, 4.6404, 0.0000], [0.0000, 0.0000, 6.1123]], "species": ["Tl", "Te", "Bi", "F", "F"], "fractional_positions": [[0.5000, 0.5000, 0.5000], [0.0000, 0.0000, 0.5000], [0.0000, 0.0000, 0.0000], [0.0000, 0.5000, 0.0000], [0.5000, 0.0000, 0.0000]], "e_tot_ev_per_cell": -201.560, "density_g_cm3": 7.30, "formation_energy_uncorrected_ev_per_atom": -1.2582, "crystal_system": "tetragonal"}



No. 3
{"formula": "TiBiF3", "functional": "SCAN", "state": "PBEsol geometry", "cell": [[4.6246, 0.0000, 0.0000], [0.0000, 4.6246, 0.0000], [0.0000, 0.0000, 4.6246]], "species": ["F", "F", "F", "Bi", "Ti"], "fractional_positions": [[0.0000, 0.5000, 0.0000], [0.0000, 0.0000, 0.5000], [0.5000, 0.0000, 0.0000], [0.0000, 0.0000, 0.0000], [0.5000, 0.5000, 0.5000]], "e_tot_ev_per_cell": -110.445, "density_g_cm3": 5.27, "formation_energy_uncorrected_ev_per_atom": -1.0431, "crystal_system": "cubic"}



No. 4
{"formula": "TlBiF3", "functional": "SCAN", "state": "PBEsol geometry", "cell": [[4.5455, 0.0000, 0.0000], [0.0000, 4.5455, 0.0000], [0.0000, 0.0000, 4.5455]], "species": ["Tl", "Bi", "F", "F", "F"], "fractional_positions": [[0.0000, 0.0000, 0.0000], [0.5000, 0.5000, 0.5000], [0.0000, 0.5000, 0.0000], [0.0000, 0.0000, 0.5000], [0.5000, 0.0000, 0.0000]], "e_tot_ev_per_cell": -167.118, "density_g_cm3": 8.32, "formation_energy_uncorrected_ev_per_atom": -1.1119, "crystal_system": "cubic"}



No. 5
{"formula": "TlBi3F10", "functional": "SCAN", "state": "PBEsol geometry", "cell": [[8.4676, 0.0000, 0.0000], [4.2338, 7.3332, 0.0000], [4.2338, 2.4444, 6.9138]], "species": ["Tl", "Tl", "Bi", "Bi", "Bi", "Bi", "Bi", "Bi", "F", "F", "F", "F", "F", "F", "F", "F", "F", "F", "F", "F", "F", "F", "F", "F", "F", "F", "F", "F"], "fractional_positions": [[0.2500, 0.2500, 0.2500], [0.7500, 0.7500, 0.7500], [0.7594, 0.2406, 0.2406], [0.2406, 0.7594, 0.7594], [0.7594, 0.2406, 0.7594], [0.2406, 0.7594, 0.2406], [0.7594, 0.7594, 0.2406], [0.2406, 0.2406, 0.7594], [0.1704, 0.5000, 0.5000], [0.8296, 0.5000, 0.5000], [0.5000, 0.1704, 0.8296], [0.5000, 0.8296, 0.1704], [0.1704, 0.5000, 0.8296], [0.5000, 0.8296, 0.5000], [0.8296, 0.5000, 0.1704], [0.5000, 0.1704, 0.5000], [0.1704, 0.8296, 0.5000], [0.8296, 0.1704, 0.5000], [0.5000, 0.5000, 0.8296], [0.5000, 0.5000, 0.1704], [0.6597, 0.1134, 0.1134], [0.3403, 0.8866, 0.8866], [0.1134, 0.6597, 0.1134], [0.1134, 0.1134, 0.6597], [0.8866, 0.3403, 0.8866], [0.8866, 0.8866, 0.3403], [0.1134, 0.1134, 0.1134], [0.8866, 0.8866, 0.8866]], "e_tot_ev_per_cell": -753.373, "density_g_cm3": 7.90, "formation_energy_uncorrected_ev_per_atom": -2.3707, "crystal_system": "cubic"}



No. 6
{"formula": "TlBi2F", "functional": "SCAN", "state": "PBEsol geometry", "cell": [[-4.9891, 0.2438, 1.0135], [-1.9888, -2.8668, 3.7152], [-1.6210, 2.1816, 4.3117]], "species": ["Tl", "Bi", "Bi", "F"], "fractional_positions": [[0.5000, 0.5000, 0.5000], [0.2500, 0.2500, 0.2500], [0.7500, 0.7500, 0.7500], [0.0000, 0.0000, 0.0000]], "e_tot_ev_per_cell": -234.818, "density_g_cm3": 11.38, "formation_energy_uncorrected_ev_per_atom": -0.4401, "crystal_system": "cubic"}



No. 7
{"formula": "TlBi3F", "functional": "SCAN", "state": "PBEsol geometry", "cell": [[-4.7748, -2.8174, 1.4518], [3.1356, -3.8164, 2.9064], [-0.4620, 3.2158, 4.7211]], "species": ["Tl", "Bi", "Bi", "Bi", "F"], "fractional_positions": [[0.0000, 0.0000, 0.0000], [0.0000, 0.5000, 0.0000], [0.0000, 0.0000, 0.5000], [0.5000, 0.0000, 0.0000], [0.5000, 0.5000, 0.5000]], "e_tot_ev_per_cell": -308.456, "density_g_cm3": 7.50, "formation_energy_uncorrected_ev_per_atom": 0.6362, "crystal_system": "cubic"}



No. 8
{"formula": "ZnBiF6", "functional": "SCAN", "state": "PBEsol geometry", "cell": [[-2.0446, -5.1082, -0.4188], [-0.4103, -3.1842, 4.4880], [-5.2276, -1.0650, 2.1588]], "species": ["Zn", "Bi", "F", "F", "F", "F", "F", "F"], "fractional_positions": [[0.5000, 0.5000, 0.5000], [0.0000, 0.0000, 0.0000], [0.2613, 0.8429, 0.2603], [0.6354, 0.2613, 0.2603], [0.1571, 0.3646, 0.7397], [0.3646, 0.7387, 0.7397], [0.7387, 0.1571, 0.7397], [0.8429, 0.6354, 0.2603]], "e_tot_ev_per_cell": -130.695, "density_g_cm3": 5.10, "formation_energy_uncorrected_ev_per_atom": -2.1700, "crystal_system": "trigonal"}



No. 9
{"formula": "ZnBiF2", "functional": "SCAN", "state": "PBEsol geometry", "cell": [[-5.9888, 0.2006, -0.4766], [2.5965, -3.9312, 3.6263], [-0.4543, 0.6051, 5.9633]], "species": ["Zn", "Zn", "Bi", "Bi", "F", "F", "F", "F"], "fractional_positions": [[0.2500, 0.5000, 0.2500], [0.5000, 0.0000, 0.5000], [0.7500, 0.5000, 0.7500], [0.0000, 0.0000, 0.0000], [0.4618, 0.7500, 0.3750], [0.2882, 0.7500, 0.8750], [0.8750, 0.2500, 0.4618], [0.3750, 0.2500, 0.2882]], "e_tot_ev_per_cell": -209.768, "density_g_cm3": 6.91, "formation_energy_uncorrected_ev_per_atom": -1.4273, "crystal_system": "tetragonal"}



No. 10
{"formula": "ZnBiF5", "functional": "SCAN", "state": "PBEsol geometry", "cell": [[-1.9959, 3.3081, 2.9771], [-3.3958, -6.3222, 3.5435], [7.8923, -0.7847, 6.1632]], "species": ["Zn", "Zn", "Zn", "Zn", "Bi", "Bi", "Bi", "Bi", "F", "F", "F", "F", "F", "F", "F", "F", "F", "F", "F", "F", "F", "F", "F", "F", "F", "F", "F", "F"], "fractional_positions": [[0.4449, 0.7948, 0.0101], [0.5551, 0.7052, 0.5101], [0.5551, 0.2052, 0.9899], [0.4449, 0.2948, 0.4899], [0.9550, 0.5949, 0.2454], [0.0450, 0.9051, 0.7454], [0.0450, 0.4051, 0.7546], [0.9550, 0.0949, 0.2546], [0.5435, 0.6207, 0.1347], [0.4565, 0.8793, 0.6347], [0.4565, 0.3793, 0.8653], [0.5435, 0.1207, 0.3653], [0.6599, 0.4999, 0.3984], [0.3401, 0.0001, 0.8984], [0.3401, 0.5001, 0.6016], [0.6599, 0.9999, 0.1016], [0.8729, 0.6650, 0.6349], [0.1271, 0.8350, 0.1349], [0.1271, 0.3350, 0.3651], [0.8729, 0.1650, 0.8651], [0.7718, 0.7908, 0.8984], [0.2282, 0.7092, 0.3984], [0.2282, 0.2092, 0.1016], [0.7718, 0.2908, 0.6016], [0.7710, 0.8107, 0.3473], [0.2290, 0.6893, 0.8473], [0.2290, 0.1893, 0.6527], [0.7710, 0.3107, 0.1527]], "e_tot_ev_per_cell": -506.362, "density_g_cm3": 6.28, "formation_energy_uncorrected_ev_per_atom": -2.3994, "crystal_system": "monoclinic"}



No. 11
{"formula": "Zr3BiF15", "functional": "SCAN", "state": "PBEsol geometry", "cell": [[-7.5338, 2.2354, -2.2004], [2.3264, -4.1114, -6.6466], [-1.6938, -6.2912, 4.9035]], "species": ["Zr", "Zr", "Zr", "Zr", "Zr", "Zr", "Bi", "Bi", "F", "F", "F", "F", "F", "F", "F", "F", "F", "F", "F", "F", "F", "F", "F", "F", "F", "F", "F", "F", "F", "F", "F", "F", "F", "F", "F", "F", "F", "F"], "fractional_positions": [[0.2500, 0.2432, 0.7568], [0.7500, 0.7568, 0.2432], [0.6742, 0.2605, 0.3216], [0.8258, 0.6784, 0.7395], [0.3258, 0.7395, 0.6784], [0.1742, 0.3216, 0.2605], [0.2500, 0.8214, 0.1786], [0.7500, 0.1786, 0.8214], [0.2500, 0.5325, 0.4675], [0.9745, 0.2508, 0.0535], [0.5255, 0.9465, 0.7492], [0.0255, 0.7492, 0.9465], [0.4745, 0.0535, 0.2508], [0.7500, 0.4675, 0.5325], [0.7823, 0.7743, 0.5011], [0.9994, 0.7654, 0.2825], [0.7773, 0.0098, 0.2700], [0.2773, 0.2700, 0.0098], [0.4994, 0.2825, 0.7654], [0.2823, 0.5011, 0.7743], [0.2177, 0.2257, 0.4989], [0.0006, 0.2346, 0.7175], [0.2227, 0.9902, 0.7300], [0.7227, 0.7300, 0.9902], [0.5006, 0.7175, 0.2346], [0.7177, 0.4989, 0.2257], [0.8166, 0.4693, 0.8453], [0.3556, 0.8018, 0.9335], [0.4435, 0.3504, 0.3205], [0.9435, 0.3205, 0.3504], [0.8556, 0.9335, 0.8018], [0.3166, 0.8453, 0.4693], [0.1834, 0.5307, 0.1547], [0.6444, 0.1982, 0.0665], [0.5565, 0.6496, 0.6795], [0.0565, 0.6795, 0.6496], [0.1444, 0.0665, 0.1982], [0.6834, 0.1547, 0.5307]], "e_tot_ev_per_cell": -586.471, "density_g_cm3": 4.96, "formation_energy_uncorrected_ev_per_atom": -3.6557, "crystal_system": "monoclinic"}



No. 12
{"formula": "Ga3FeBi", "functional": "SCAN", "state": "PBEsol geometry", "cell": [[-0.6188, 0.9101, 4.4987], [-4.2066, -1.9284, -0.1884], [1.8361, -4.1113, 1.0843]], "species": ["Bi", "Ga", "Ga", "Ga", "Fe"], "fractional_positions": [[0.5000, 0.5000, 0.5000], [0.0000, 0.5000, 0.0000], [0.0000, 0.0000, 0.5000], [0.5000, 0.0000, 0.0000], [0.0000, 0.0000, 0.0000]], "e_tot_ev_per_cell": -144.440, "density_g_cm3": 7.92, "ef_mev_per_atom": 262, "crystal_system": "cubic"}



No. 13
{"formula": "GaFeBi2O6", "functional": "SCAN", "state": "PBEsol geometry", "cell": [[-3.3510, -0.1304, -1.5791], [-1.9247, -3.8830, 4.0994], [-2.4003, 3.4838, 4.4345]], "species": ["Ga", "Fe", "Bi", "Bi", "O", "O", "O", "O", "O", "O"], "fractional_positions": [[0.5455, 0.0116, 0.5542], [0.5431, 0.5054, 0.0514], [0.0127, 0.9886, 0.0066], [0.0063, 0.4990, 0.5037], [0.5681, 0.8081, 0.3748], [0.5666, 0.3064, 0.8722], [0.0433, 0.0797, 0.6255], [0.0414, 0.5849, 0.1274], [0.5451, 0.3313, 0.3768], [0.5445, 0.8339, 0.8727]], "e_tot_ev_per_cell": -243.927, "density_g_cm3": 8.10, "formation_energy_uncorrected_ev_per_atom": -1.4904, "crystal_system": "triclinic"}



No. 14
{"formula": "GaFeBi2S", "functional": "SCAN", "state": "PBEsol geometry", "cell": [[4.0461, 0.0000, 0.0000], [0.0000, 5.5298, 0.0000], [0.0000, 0.0000, 5.5298]], "species": ["S", "Bi", "Bi", "Ga", "Fe"], "fractional_positions": [[0.0000, 0.0000, 0.0000], [0.0000, 0.0000, 0.5000], [0.0000, 0.5000, 0.0000], [0.5000, 0.5000, 0.5000], [0.5000, 0.0000, 0.0000]], "e_tot_ev_per_cell": -198.815, "density_g_cm3": 7.73, "formation_energy_uncorrected_ev_per_atom": 0.4897, "crystal_system": "tetragonal"}



No. 15
{"formula": "GaFe2BiS", "functional": "SCAN", "state": "PBEsol geometry", "cell": [[-0.1476, 3.5365, 2.8970], [-3.9381, 1.3737, -1.8776], [-2.3462, -2.5817, 3.0321]], "species": ["S", "Bi", "Ga", "Fe", "Fe"], "fractional_positions": [[0.0000, 0.0000, 0.5000], [0.5000, 0.5000, 0.5000], [0.0000, 0.0000, 0.0000], [0.0000, 0.5000, 0.0000], [0.5000, 0.0000, 0.0000]], "e_tot_ev_per_cell": -136.475, "density_g_cm3": 7.25, "formation_energy_uncorrected_ev_per_atom": 0.8677, "crystal_system": "tetragonal"}



No. 16
{"formula": "GdFe2BiO6", "functional": "SCAN", "state": "PBEsol geometry", "cell": [[5.2830, 0.0000, 0.0000], [0.0000, 5.5108, 0.0000], [0.0000, 0.0000, 7.5652]], "species": ["Gd", "Gd", "Fe", "Fe", "Fe", "Fe", "Bi", "Bi", "O", "O", "O", "O", "O", "O", "O", "O", "O", "O", "O", "O"], "fractional_positions": [[0.2348, 0.4356, 0.5000], [0.7652, 0.9356, 0.5000], [0.2498, 0.9994, 0.7454], [0.7502, 0.4994, 0.2546], [0.2498, 0.9994, 0.2546], [0.7502, 0.4994, 0.7454], [0.2614, 0.5559, 0.0000], [0.7386, 0.0559, 0.0000], [0.5503, 0.7981, 0.7855], [0.4497, 0.2981, 0.2145], [0.9544, 0.2056, 0.2989], [0.0456, 0.7056, 0.7011], [0.9544, 0.2056, 0.7011], [0.0456, 0.7056, 0.2989], [0.5503, 0.7981, 0.2145], [0.4497, 0.2981, 0.7855], [0.1699, 0.9827, 0.0000], [0.8301, 0.4827, 0.0000], [0.3363, 0.0197, 0.5000], [0.6637, 0.5197, 0.5000]], "e_tot_ev_per_cell": -461.851, "density_g_cm3": 8.65, "formation_energy_uncorrected_ev_per_atom": -1.9884, "crystal_system": "orthorhombic"}



No. 17
{"formula": "FeGeBi3", "functional": "SCAN", "state": "PBEsol geometry", "cell": [[-1.1305, -3.5380, 3.9031], [5.1708, -1.5081, 0.1306], [1.0067, 3.7733, 3.7119]], "species": ["Ge", "Bi", "Bi", "Bi", "Fe"], "fractional_positions": [[0.0000, 0.0000, 0.0000], [0.0000, 0.5000, 0.0000], [0.0000, 0.0000, 0.5000], [0.5000, 0.0000, 0.0000], [0.5000, 0.5000, 0.5000]], "e_tot_ev_per_cell": -267.037, "density_g_cm3": 8.02, "ef_mev_per_atom": 1184, "crystal_system": "cubic"}



No. 18
{"formula": "FeBiI2", "functional": "SCAN", "state": "PBEsol geometry", "cell": [[9.7824, 0.0000, 0.0000], [-4.8912, 4.8824, 2.5992], [0.0000, 5.4897, 8.0968]], "species": ["I", "I", "I", "I", "Bi", "Bi", "Fe", "Fe"], "fractional_positions": [[0.4722, 0.7500, 0.3750], [0.2778, 0.7500, 0.8750], [0.8750, 0.2500, 0.4722], [0.3750, 0.2500, 0.2778], [0.7500, 0.5000, 0.7500], [0.0000, 0.0000, 0.0000], [0.2500, 0.5000, 0.2500], [0.5000, 0.0000, 0.5000]], "e_tot_ev_per_cell": -337.887, "density_g_cm3": 6.97, "formation_energy_uncorrected_ev_per_atom": 0.3123, "crystal_system": "tetragonal"}



No. 19
{"formula": "YFeBiI2", "functional": "SCAN", "state": "PBEsol geometry", "cell": [[5.9835, 0.0000, 0.0000], [0.0000, 6.0436, 0.0000], [0.0000, 0.0000, 6.0436]], "species": ["I", "I", "Y", "Bi", "Fe"], "fractional_positions": [[0.0000, 0.0000, 0.5000], [0.0000, 0.5000, 0.0000], [0.5000, 0.0000, 0.0000], [0.0000, 0.0000, 0.0000], [0.5000, 0.5000, 0.5000]], "e_tot_ev_per_cell": -194.109, "density_g_cm3": 4.62, "formation_energy_uncorrected_ev_per_atom": 0.7852, "crystal_system": "tetragonal"}



No. 20
{"formula": "Tl2InFeBi", "functional": "SCAN", "state": "PBEsol geometry", "cell": [[4.8683, 0.0000, 0.0000], [0.0000, 5.9532, 0.0000], [0.0000, 0.0000, 5.9532]], "species": ["Fe", "Tl", "Tl", "Bi", "In"], "fractional_positions": [[0.5000, 0.0000, 0.0000], [0.0000, 0.0000, 0.5000], [0.0000, 0.5000, 0.0000], [0.0000, 0.0000, 0.0000], [0.5000, 0.5000, 0.5000]], "e_tot_ev_per_cell": -270.706, "density_g_cm3": 7.59, "ef_mev_per_atom": 821, "crystal_system": "tetragonal"}



No. 21
{"formula": "K2FeSiBi", "functional": "SCAN", "state": "PBEsol geometry", "cell": [[-4.6218, -1.6827, 0.0476], [1.2732, -3.3681, 4.5536], [-1.5251, 4.2910, 3.6002]], "species": ["K", "K", "Si", "Bi", "Fe"], "fractional_positions": [[0.0000, 0.0000, 0.5000], [0.0000, 0.5000, 0.0000], [0.5000, 0.5000, 0.5000], [0.5000, 0.0000, 0.0000], [0.0000, 0.0000, 0.0000]], "e_tot_ev_per_cell": -119.559, "density_g_cm3": 3.72, "formation_energy_uncorrected_ev_per_atom": 0.7647, "crystal_system": "tetragonal"}



No. 22
{"formula": "KFeBi2W", "functional": "SCAN", "state": "PBEsol geometry", "cell": [[4.8891, 0.0000, 0.0000], [0.0000, 5.3867, 0.0000], [0.0000, 0.0000, 5.3867]], "species": ["K", "Bi", "Bi", "W", "Fe"], "fractional_positions": [[0.5000, 0.5000, 0.5000], [0.0000, 0.0000, 0.5000], [0.0000, 0.5000, 0.0000], [0.0000, 0.0000, 0.0000], [0.5000, 0.0000, 0.0000]], "e_tot_ev_per_cell": -249.951, "density_g_cm3": 8.16, "ef_mev_per_atom": 671, "crystal_system": "tetragonal"}